The following is a GGA-PBE calculation of an optimized crystal structure of Nd6Zn3O, from Alexandria.

Cell lengths 6.6590, 8.0476, 9.9626 Å; angles 90.00, 82.86, 90.00 degrees
Closest atoms and distances in Å follow each position.
Atoms (fractional coordinates):
Nd: 0.6733 0.1520 0.9461  1 O 2.61
Nd: 0.6233 0.2157 0.5659  1 O 2.54
Nd: 0.6584 0.4480 0.2653  1 O 2.48
Nd: 0.3416 0.5520 0.7347  1 O 2.48
Nd: 0.3767 0.7843 0.4341  1 O 2.54
Nd: 0.3267 0.8480 0.0539  1 O 2.61
Nd: 0.1733 0.3480 0.4461  1 O 2.61
Nd: 0.1233 0.2843 0.0659  1 O 2.54
Nd: 0.1584 0.0520 0.7653  1 O 2.48
Nd: 0.8416 0.9480 0.2347  1 O 2.48
Nd: 0.8767 0.7157 0.9341  1 O 2.54
Nd: 0.8267 0.6520 0.5539  1 O 2.61
Zn: 0.5778 0.8843 0.7436  7 Nd 3.01-3.34
Zn: 0.5000 0.5000 0.0000  6 Nd 2.99-3.05
Zn: 0.4222 0.1157 0.2564  7 Nd 3.01-3.34
Zn: 0.0778 0.6157 0.2436  7 Nd 3.01-3.34
Zn: 0.0000 0.0000 0.5000  6 Nd 2.99-3.05
Zn: 0.9222 0.3843 0.7564  7 Nd 3.01-3.34
O: 0.5000 0.5000 0.5000  6 Nd 2.48-2.61
O: 0.0000 0.0000 0.0000  6 Nd 2.48-2.61

Results
- raw formation energy (eV per atom) = -0.637
- density of states at the Fermi level (states/eV/cell) = 22.65
- spin magnetization (μB per formula unit) = 0.00